An optimized crystal structure of PmP2Rh4, computed with PBE.

Cell: 3.7165 7.6679 7.6679 Å, 90.00 90.00 90.00°
Sites, in units of the cell vectors:
1 P 0.5000 0.7303 0.7303
2 P 0.0000 0.7697 0.2303
3 P 0.0000 0.2303 0.7697
4 P 0.5000 0.2697 0.2697
5 Rh 0.0000 0.6741 0.9255
6 Rh 0.5000 0.5745 0.1741
7 Rh 0.5000 0.4255 0.8259
8 Rh 0.0000 0.9255 0.6741
9 Rh 0.0000 0.3259 0.0745
10 Rh 0.0000 0.0745 0.3259
11 Rh 0.5000 0.8259 0.4255
12 Rh 0.5000 0.1741 0.5745
13 Pm 0.0000 0.5000 0.5000
14 Pm 0.5000 0.0000 0.0000

Volume in Å³/f.u.: 109.3
Formation energy in meV per atom: -885.2
DOS at the Fermi energy in states/eV/cell: 9.46